(1)
An optimized crystal structure of SmErNi2Sn, computed with PBE-GGA.

Values from the calculation:
Volume (Å³ per atom): 20.5
Total magnetic moment (μB per formula unit): 0.0
E (eV per atom): -5.475
Space-group type: Amm2

Cell and atoms, written as extended XYZ:
```
10
Lattice="3.679 0.000 0.000 0.000 4.001 0.000 0.000 0.000 13.957" Properties=species:S:1:pos:R:3 pbc="T T T"
Sm 0.000 0.000 0.000
Sm 0.000 2.001 6.978
Er 0.000 0.000 3.805
Er 0.000 2.001 10.783
Ni 1.840 0.000 6.062
Ni 1.840 0.000 11.601
Ni 1.840 2.001 4.623
Ni 1.840 2.001 13.040
Sn 1.840 0.000 8.913
Sn 1.840 2.001 1.934
```



(2)
An optimized crystal structure of SmErNi2Sn2, computed with PBE-GGA.

Values from the calculation:
Volume (Å³ per atom): 21.3
Total magnetic moment (μB per formula unit): 0.0
E (eV per atom): -5.368
Space-group type: P3m1

Cell and atoms, written as extended XYZ:
```
6
Lattice="4.516 0.000 0.000 -2.258 3.911 0.000 0.000 0.000 7.221" Properties=species:S:1:pos:R:3 pbc="T T T"
Sm 0.000 0.000 0.000
Er 0.000 0.000 3.647
Ni 0.000 2.607 2.330
Ni 2.258 1.304 5.392
Sn 0.000 2.607 5.262
Sn 2.258 1.304 1.908
```



(3)
An optimized crystal structure of SmErTlNi2, computed with PBE-GGA.

Values from the calculation:
Volume (Å³ per atom): 21.0
Total magnetic moment (μB per formula unit): 0.0
E (eV per atom): -5.014
Space-group type: Amm2

Cell and atoms, written as extended XYZ:
```
10
Lattice="3.692 0.000 0.000 0.000 3.919 0.000 0.000 0.000 14.518" Properties=species:S:1:pos:R:3 pbc="T T T"
Sm 0.000 0.000 0.000
Sm 0.000 1.959 7.259
Er 0.000 0.000 4.038
Er 0.000 1.959 11.297
Tl 1.846 0.000 9.309
Tl 1.846 1.959 2.050
Ni 1.846 0.000 6.302
Ni 1.846 0.000 12.144
Ni 1.846 1.959 4.885
Ni 1.846 1.959 13.561
```



(4)
An optimized crystal structure of Er3Ni2Sn4, computed with PBE-GGA.

Values from the calculation:
Volume (Å³ per atom): 22.4
Total magnetic moment (μB per formula unit): 0.0
E (eV per atom): -5.151
Space-group type: C2/m

Cell and atoms, written as extended XYZ:
```
9
Lattice="5.574 -2.211 0.000 5.574 2.211 0.000 -2.282 0.000 8.165" Properties=species:S:1:pos:R:3 pbc="T T T"
Er 0.000 0.000 0.000
Er 3.394 0.000 2.565
Er 5.471 0.000 5.600
Ni 1.941 0.000 4.963
Ni 6.924 0.000 3.202
Sn 0.056 0.000 3.143
Sn 1.237 0.000 7.466
Sn 7.628 0.000 0.699
Sn 8.810 0.000 5.022
```



(5)
An optimized crystal structure of ErNi4Sn, computed with PBE-GGA.

Values from the calculation:
Volume (Å³ per atom): 14.4
Total magnetic moment (μB per formula unit): 0.0
E (eV per atom): -5.547
Space-group type: F-43m

Cell and atoms, written as extended XYZ:
```
6
Lattice="0.000 3.508 3.508 3.508 0.000 3.508 3.508 3.508 0.000" Properties=species:S:1:pos:R:3 pbc="T T T"
Er 0.000 0.000 0.000
Ni 4.383 2.633 2.633
Ni 2.633 4.383 2.633
Ni 2.633 2.633 4.383
Ni 4.383 4.383 4.383
Sn 1.754 1.754 1.754
```



(6)
An optimized crystal structure of Er2NiSn2, computed with PBE-GGA.

Values from the calculation:
Volume (Å³ per atom): 22.9
Total magnetic moment (μB per formula unit): 0.0
E (eV per atom): -5.202
Space-group type: C2/m

Cell and atoms, written as extended XYZ:
```
10
Lattice="5.397 -2.206 0.000 5.397 2.206 0.000 -4.870 0.000 9.611" Properties=species:S:1:pos:R:3 pbc="T T T"
Er -0.807 0.000 1.632
Er -1.029 0.000 5.940
Er 6.953 0.000 3.671
Er 6.730 0.000 7.979
Ni 2.227 0.000 1.610
Ni 3.697 0.000 8.001
Sn -0.924 0.000 9.057
Sn 2.059 0.000 5.971
Sn 3.864 0.000 3.640
Sn 6.848 0.000 0.553
```



(7)
An optimized crystal structure of YErNi2Sn, computed with PBE-GGA.

Values from the calculation:
Volume (Å³ per atom): 20.1
Total magnetic moment (μB per formula unit): 0.0
E (eV per atom): -5.853
Space-group type: Amm2

Cell and atoms, written as extended XYZ:
```
10
Lattice="3.650 0.000 0.000 0.000 3.983 0.000 0.000 0.000 13.855" Properties=species:S:1:pos:R:3 pbc="T T T"
Y 0.000 0.000 0.000
Y 0.000 1.991 6.928
Er 0.000 0.000 3.781
Er 0.000 1.991 10.709
Ni 1.825 0.000 6.041
Ni 1.825 0.000 11.526
Ni 1.825 1.991 4.599
Ni 1.825 1.991 12.968
Sn 1.825 0.000 8.816
Sn 1.825 1.991 1.888
```



(8)
An optimized crystal structure of ErTaNi, computed with PBE-GGA.

Values from the calculation:
ΔH_f (0 K) (kcal/mol of atoms): 32.17
Energy above the lowest structure with this stoichiometry (meV per atom): 1055
Volume (Å³ per atom): 21.2
Total magnetic moment (μB per formula unit): 1.0
Space-group type: F-43m

Cell and atoms, written as extended XYZ:
```
12
Lattice="6.338 0.000 0.000 0.000 6.338 0.000 0.000 0.000 6.338" Properties=species:S:1:pos:R:3 pbc="T T T"
Er 0.000 0.000 0.000
Er 0.000 3.169 3.169
Er 3.169 0.000 3.169
Er 3.169 3.169 0.000
Ta 1.584 1.584 1.584
Ta 1.584 4.753 4.753
Ta 4.753 1.584 4.753
Ta 4.753 4.753 1.584
Ni 1.584 1.584 4.753
Ni 1.584 4.753 1.584
Ni 4.753 1.584 1.584
Ni 4.753 4.753 4.753
```